# MgSi2Cl2

An optimized crystal structure of MgSi2Cl2 (GGA-PBE, the Alexandria database).

abc: 3.3385 3.3385 12.2358
angles: 82.16 82.16 90.00
Last column: nearest neighbours and their distance in Å.
Atoms (fractional coordinates):
Si1 0.2500 0.7500 0.5000  4 Si 2.36
Si2 0.7500 0.2500 0.5000  4 Si 2.36
Cl1 0.5625 0.5625 0.8749  4 Mg 2.80, 1 Cl 3.00
Mg1 0.0000 0.0000 0.0000  8 Cl 2.80
Cl2 0.4375 0.4375 0.1251  4 Mg 2.80, 1 Cl 3.00

## Properties
Fermi-level density of states	0.9	states/eV per cell
relative energy among the computed polymorphs	0.0000	eV/atom
formation energy (no corrections)	-2.41	eV/f.u.